Below is a relaxed KUGaO6 crystal, with properties calculated at the GGA-PBE level.

Cell: 5.3857 5.3856 6.0553 Å, 90.00 90.00 60.00°
Last column: nearest neighbours and their distance in Å.
Fractional coordinates of all 9 atoms:
O 0.6231 0.3723 0.6830  1 Ga 2.01, 1 U 2.04
O 0.0045 0.6232 0.6830  1 Ga 2.01, 1 U 2.04
O 0.0045 0.3723 0.3170  1 Ga 2.01, 1 U 2.04
O 0.3723 0.6231 0.3169  1 Ga 2.01, 1 U 2.04
O 0.3723 0.0046 0.6830  1 Ga 2.01, 1 U 2.04
O 0.6232 0.0045 0.3170  1 Ga 2.01, 1 U 2.04
Ga 0.3333 0.3333 0.5000  6 O 2.01
K 0.0000 0.0000 0.0000  6 O 2.78
U 0.6666 0.6667 0.5000  6 O 2.04

Energy relative to the elements, uncorrected ... -44.59 kcal/mol of atoms
Crystal system ... trigonal

---

Below is a relaxed MnSn3Pd crystal, with properties calculated at the GGA-PBE level.

Cell: 4.9008 4.9008 4.9008 Å, 90.00 90.00 90.00°
Last column: nearest neighbours and their distance in Å.
Fractional coordinates of all 5 atoms:
Sn 0.5000 0.0000 0.0000  2 Mn 2.45
Sn 0.0000 0.0000 0.5000  2 Mn 2.45
Sn 0.0000 0.5000 0.0000  2 Mn 2.45
Mn 0.0000 0.0000 0.0000  6 Sn 2.45
Pd 0.5000 0.5000 0.5000  12 Sn 3.47

DFT formation energy ... 26.29 kJ/mol of atoms
Crystal system ... cubic
Energy above the lowest structure with this stoichiometry ... 0 kJ/mol of formula units

---

Below is a relaxed TaHgAs2 crystal, with properties calculated at the GGA-PBE level.

Cell: 6.8110 6.8110 6.8110 Å, 155.72 134.94 51.84°
Last column: nearest neighbours and their distance in Å.
Fractional coordinates of all 4 atoms:
Hg 0.7500 0.2500 0.5000  2 Hg 2.86, 4 Ta 2.98
Ta 0.2500 0.7500 0.5000  4 As 2.65, 2 Ta 2.86
As 0.4322 0.4322 0.0000  2 Ta 2.65, 2 As 2.86
As 0.0678 0.0678 0.0000  2 Ta 2.65, 2 As 2.86

DFT formation energy ... 13.65 kJ/mol of atoms
Crystal system ... orthorhombic

---

Below is a relaxed Pr2Ho3Al crystal, with properties calculated at the GGA-PBE level.

Cell: 4.8968 4.8495 7.9122 Å, 107.85 90.00 90.00°
Last column: nearest neighbours and their distance in Å.
Fractional coordinates of all 6 atoms:
Ho 0.5000 0.5000 0.0000  4 Ho 3.42, 4 Pr 3.43, 4 Al 3.45
Ho 0.5000 0.1604 0.3209  4 Ho 3.42-3.63, 2 Al 3.44, 6 Pr 3.45-3.65
Ho 0.5000 0.8396 0.6791  4 Ho 3.42-3.63, 2 Al 3.44, 6 Pr 3.45-3.65
Pr 0.0000 0.3406 0.6812  2 Al 3.41, 8 Ho 3.43-3.65, 2 Pr 3.65
Pr 0.0000 0.6594 0.3188  2 Al 3.41, 8 Ho 3.43-3.65, 2 Pr 3.65
Al 0.0000 0.0000 0.0000  4 Pr 3.41, 8 Ho 3.44-3.45

DFT formation energy ... -6.94 kJ/mol of atoms
Crystal system ... orthorhombic

---

Calculated density, record by record: 4835; 7300; 9632; 7461 kg/m3